(1)
DFT (PBE) results for a relaxed Ca3Ag crystal.

Cell lengths 8.0965, 8.0965, 4.3921 Å; angles 90.00, 90.00, 104.99 degrees
Fractional positions:
Ca (0.5671, 0.8245, 0.2500)
Ca (0.1755, 0.4329, 0.2500)
Ca (0.4329, 0.1755, 0.7500)
Ca (0.1121, 0.8879, 0.2500)
Ca (0.8245, 0.5671, 0.7500)
Ag (0.7234, 0.2766, 0.2500)
Ca (0.8879, 0.1121, 0.7500)
Ag (0.2766, 0.7234, 0.7500)

Output
The formation energy comes out at -143 meV/atom. As for the space-group type: Cmcm. The energy above the most stable polymorph in this dataset comes out at 52 meV/atom.


(2)
DFT (PBE) results for a relaxed CaAg crystal.

Cell lengths 4.1480, 4.1480, 8.4067 Å; angles 90.00, 90.00, 120.00 degrees
Fractional positions:
Ag (0.6667, 0.3333, 0.2123)
Ag (0.0000, 0.0000, 0.0377)
Ca (0.6667, 0.3333, 0.8133)
Ca (0.0000, 0.0000, 0.4367)

Output
The formation energy comes out at -32 meV/atom. As for the space-group type: P-3m1.


(3)
DFT (PBE) results for a relaxed CaAg crystal.

Cell lengths 5.9622, 5.9622, 8.2157 Å; angles 69.30, 69.30, 37.90 degrees
Fractional positions:
Ag (0.1059, 0.1059, 0.9919)
Ca (0.8138, 0.8138, 0.0357)
Ca (0.9920, 0.9920, 0.3868)
Ca (0.6302, 0.6302, 0.6861)
Ag (0.2776, 0.2776, 0.3677)
Ag (0.3472, 0.3472, 0.6984)

Output
The formation energy comes out at -254 meV/atom. As for the space-group type: Cm.


(4)
DFT (PBE) results for a relaxed CaAg2 crystal.

Cell lengths 5.7897, 5.7897, 7.5583 Å; angles 69.75, 69.75, 35.45 degrees
Fractional positions:
Ag (0.3500, 0.3500, 0.0347)
Ag (0.0385, 0.0385, 0.7553)
Ca (0.6609, 0.6609, 0.3656)
Ag (0.9615, 0.9615, 0.2447)
Ag (0.6500, 0.6500, 0.9653)
Ca (0.3391, 0.3391, 0.6344)

Output
The formation energy comes out at -147 meV/atom. As for the space-group type: C2/m.


(5)
DFT (PBE) results for a relaxed CaAg2 crystal.

Cell lengths 7.0677, 7.0677, 7.0677 Å; angles 90.00, 90.00, 90.00 degrees
Fractional positions:
Ag (0.3894, 0.3894, 0.6106)
Ag (0.8894, 0.3894, 0.8894)
Ag (0.8894, 0.1106, 0.3894)
Ca (0.0000, 0.0000, 0.0000)
Ag (0.1106, 0.6106, 0.1106)
Ca (0.0000, 0.5000, 0.5000)
Ca (0.5000, 0.0000, 0.5000)
Ca (0.5000, 0.5000, 0.0000)
Ag (0.6106, 0.8894, 0.8894)
Ag (0.1106, 0.8894, 0.6106)
Ag (0.6106, 0.6106, 0.3894)
Ag (0.3894, 0.1106, 0.1106)

Output
The formation energy comes out at 241 meV/atom. As for the space-group type: Pa-3.


(6)
DFT (PBE) results for a relaxed CaAg2 crystal.

Cell lengths 14.1698, 14.1698, 14.1698 Å; angles 161.98, 161.98, 25.59 degrees
Fractional positions:
Ag (0.2480, 0.2480, 0.0000)
Ca (0.0777, 0.0777, 0.0000)
Ca (0.9223, 0.9223, 0.0000)
Ag (0.7520, 0.7520, 0.0000)
Ca (0.1723, 0.6723, 0.5000)
Ag (0.5786, 0.5786, 0.0000)
Ag (0.6714, 0.1714, 0.5000)
Ca (0.3277, 0.8277, 0.5000)
Ag (0.8286, 0.3286, 0.5000)
Ag (0.0020, 0.5020, 0.5000)
Ag (0.4214, 0.4214, 0.0000)
Ag (0.4980, 0.9980, 0.5000)

Output
The formation energy comes out at -164 meV/atom. As for the space-group type: I4_1/amd.


(7)
DFT (PBE) results for a relaxed Ca4Ag3 crystal.

Cell lengths 6.0118, 6.0118, 6.3010 Å; angles 90.00, 90.00, 120.00 degrees
Fractional positions:
Ca (0.0000, 0.0000, 0.7600)
Ca (0.3333, 0.6667, 0.5000)
Ag (0.5000, 0.5000, 0.0000)
Ca (0.6667, 0.3333, 0.5000)
Ag (0.0000, 0.5000, 0.0000)
Ca (0.0000, 0.0000, 0.2400)
Ag (0.5000, 0.0000, 0.0000)

Output
The formation energy comes out at -89 meV/atom. As for the space-group type: P6/mmm. The energy above the most stable polymorph in this dataset comes out at 155 meV/atom.


(8)
DFT (PBE) results for a relaxed CaAg2 crystal.

Cell lengths 5.9764, 5.9764, 5.9764 Å; angles 133.06, 104.95, 93.40 degrees
Fractional positions:
Ca (0.7074, 0.4574, 0.2500)
Ag (0.2889, 0.8366, 0.4523)
Ag (0.8843, 0.8366, 0.0477)
Ca (0.2926, 0.5426, 0.7500)
Ag (0.1157, 0.1634, 0.9523)
Ag (0.7111, 0.1634, 0.5477)

Output
The formation energy comes out at -285 meV/atom. As for the space-group type: Imma.


Sequential energy output: -2.357; -2.459; -2.681; -2.715; -2.327; -2.732; -2.454; -2.853 eV/atom